{"formula": "RbNaCr2O7", "functional": "PBE+U", "state": "relaxed", "spacegroup": "No. 14", "crystal_system": "monoclinic", "energy_ev_per_cell": -546.36, "lattice_angstrom": [[-2.2628, -5.0681, -10.2124], [9.7047, -2.8507, -0.7355], [-1.8841, -11.6055, 6.1769]], "species": ["O", "O", "O", "Na", "O", "Na", "Rb", "O", "O", "O", "O", "Cr", "O", "Na", "Cr", "Na", "O", "O", "Rb", "O", "O", "O", "Rb", "O", "O", "O", "O", "O", "Cr", "O", "O", "Cr", "Cr", "O", "Rb", "O", "O", "O", "O", "O", "Cr", "O", "Na", "Cr", "O", "O", "O", "Cr", "Cr", "O", "Cr", "O", "Cr", "O", "Cr", "O", "O", "Na", "O", "Rb", "O", "O", "O", "Cr", "Rb", "O", "Rb", "Cr", "O", "O", "O", "Rb", "Cr", "O", "O", "O", "O", "Na", "O", "O", "Na", "O", "O", "O", "Cr", "O", "O", "O"], "frac_coords": [[0.4195, 0.7052, 0.1182], [0.0818, 0.0232, 0.7114], [0.2217, 0.5137, 0.1218], [0.6509, 0.1909, 0.7350], [0.5254, 0.9813, 0.7758], [0.8491, 0.6909, 0.7350], [0.9809, 0.7109, 0.4064], [0.9525, 0.2368, 0.3089], [0.8047, 0.6861, 0.0446], [0.1470, 0.5056, 0.4748], [0.3465, 0.2374, 0.2034], [0.7815, 0.9836, 0.5600], [0.0430, 0.6524, 0.0312], [0.3491, 0.8091, 0.2650], [0.6128, 0.8946, 0.8515], [0.1509, 0.3091, 0.2650], [0.6953, 0.1861, 0.0446], [0.5818, 0.4768, 0.2886], [0.5191, 0.2109, 0.4064], [0.2783, 0.0137, 0.1218], [0.7603, 0.6419, 0.2974], [0.7021, 0.5432, 0.6704], [0.0191, 0.2891, 0.5936], [0.9570, 0.3476, 0.9688], [0.3047, 0.8139, 0.9554], [0.4383, 0.6065, 0.9362], [0.4570, 0.1524, 0.0312], [0.0617, 0.1065, 0.9362], [0.9226, 0.7591, 0.0045], [0.3228, 0.6709, 0.4343], [0.0475, 0.7632, 0.6911], [0.5774, 0.2591, 0.0045], [0.8872, 0.3946, 0.8515], [0.6535, 0.7626, 0.7966], [0.7002, 0.9120, 0.1593], [0.5617, 0.3935, 0.0638], [0.5805, 0.2948, 0.8818], [0.8693, 0.0826, 0.4730], [0.0805, 0.2052, 0.1182], [0.5430, 0.8476, 0.9688], [0.3700, 0.3902, 0.6615], [0.4525, 0.2632, 0.6911], [0.0842, 0.9708, 0.1738], [0.2185, 0.0164, 0.4400], [0.3530, 0.0056, 0.4748], [0.6470, 0.9944, 0.5252], [0.7979, 0.0432, 0.6704], [0.6300, 0.6098, 0.3385], [0.2815, 0.5164, 0.4400], [0.1535, 0.7374, 0.2034], [0.3872, 0.1054, 0.1485], [0.7397, 0.1419, 0.2974], [0.7185, 0.4836, 0.5600], [0.1772, 0.1709, 0.4343], [0.0774, 0.2409, 0.9955], [0.9182, 0.9768, 0.2886], [0.6772, 0.3291, 0.5657], [0.5842, 0.5292, 0.8262], [0.6307, 0.5826, 0.4730], [0.7998, 0.4120, 0.1593], [0.4746, 0.0187, 0.2242], [0.4182, 0.5232, 0.7114], [0.2021, 0.9568, 0.3296], [0.4226, 0.7409, 0.9955], [0.2002, 0.5880, 0.8407], [0.1307, 0.9174, 0.5270], [0.4809, 0.7891, 0.5936], [0.1128, 0.6054, 0.1485], [0.5475, 0.7368, 0.3089], [0.9746, 0.4813, 0.7758], [0.7783, 0.4863, 0.8782], [0.2998, 0.0880, 0.8407], [0.8700, 0.1098, 0.3385], [0.9383, 0.8935, 0.0638], [0.2397, 0.3581, 0.7026], [0.2603, 0.8581, 0.7026], [0.3693, 0.4174, 0.5270], [0.4158, 0.4708, 0.1738], [0.8530, 0.4944, 0.5252], [0.2979, 0.4568, 0.3296], [0.9158, 0.0292, 0.8262], [0.7217, 0.9863, 0.8782], [0.0254, 0.5187, 0.2242], [0.9195, 0.7948, 0.8818], [0.1300, 0.8902, 0.6615], [0.8465, 0.2626, 0.7966], [0.8228, 0.8291, 0.5657], [0.1953, 0.3139, 0.9554]]}